--- a ---
Density functional theory data (PBE) for a relaxed K2NaOs crystal.

a = 4.7184 Å, b = 4.7184 Å, c = 12.0561 Å
α = 78.72°, β = 78.72°, γ = 90.00°
Last column: nearest neighbours and their distance in Å.
Sites, in units of the cell vectors:
K: 0.1128 0.6250 0.2500  4 K 3.26-3.42, 2 Os 3.32, 2 Na 3.36
K: 0.8750 0.8872 0.7500  4 K 3.26-3.42, 2 Os 3.32, 2 Na 3.36
Na: 0.5000 0.5000 0.0000  4 Os 3.34, 4 K 3.36
Os: 0.7500 0.2500 0.5000  4 K 3.32, 4 Na 3.34
K: 0.3750 0.3628 0.7500  4 K 3.26-3.42, 2 Os 3.32, 2 Na 3.36
K: 0.6372 0.1250 0.2500  4 K 3.26-3.42, 2 Os 3.32, 2 Na 3.36
Na: 0.2500 0.7500 0.5000  4 Os 3.34, 4 K 3.36
Os: 0.0000 0.0000 0.0000  4 K 3.32, 4 Na 3.34

Results
**Size of the total moment**: 3.4 μB/cell
**Volume**: 129.0 Å³/f.u.
**DOS at the Fermi energy**: 6.8 states/eV/f.u.

***

--- b ---
Density functional theory data (PBE) for a relaxed K2NaOs crystal.

a = 5.7091 Å, b = 5.7091 Å, c = 5.7091 Å
α = 60.00°, β = 60.00°, γ = 60.00°
Last column: nearest neighbours and their distance in Å.
Sites, in units of the cell vectors:
K: 0.7500 0.7500 0.7500  4 Os 3.50, 4 Na 3.50
Os: 0.5000 0.5000 0.5000  8 K 3.50
K: 0.2500 0.2500 0.2500  4 Os 3.50, 4 Na 3.50
Na: 0.0000 0.0000 0.0000  8 K 3.50

Results
**Size of the total moment**: 2.0 μB/cell
**Volume**: 131.6 Å³/f.u.
**DOS at the Fermi energy**: 6.3 states/eV/f.u.

***

Order from most stable to least stable according to the calculation: b, a

***

--- a ---
Density functional theory data (PBE) for a relaxed KNaP crystal.

a = 4.4703 Å, b = 6.7223 Å, c = 7.4847 Å
α = 116.68°, β = 107.38°, γ = 90.00°
Last column: nearest neighbours and their distance in Å.
Sites, in units of the cell vectors:
Na: 0.0000 0.7797 0.0000  4 P 2.91, 1 Na 2.96
Na: 0.0000 0.2203 0.0000  4 P 2.91, 1 Na 2.96
K: 0.2836 0.2836 0.5672  2 P 3.30
P: 0.4095 0.9095 0.8189  1 P 2.28
P: 0.5905 0.0905 0.1811  1 P 2.28
K: 0.7164 0.7164 0.4328  2 P 3.30

Results
**Size of the total moment**: 0.0 μB/cell
**Volume**: 94.7 Å³/f.u.
**DOS at the Fermi energy**: 2.0 states/eV/f.u.

***

--- b ---
Density functional theory data (PBE) for a relaxed KNaP crystal.

a = 4.8466 Å, b = 4.8466 Å, c = 10.9835 Å
α = 77.47°, β = 77.47°, γ = 60.92°
Last column: nearest neighbours and their distance in Å.
Sites, in units of the cell vectors:
P: 0.4741 0.4741 0.1069  1 P 2.28
Na: 0.8473 0.8473 0.9414  4 P 2.85-3.19, 3 Na 3.05-3.13
K: 0.2555 0.2555 0.7086  3 P 3.39-3.45, 4 Na 3.71-3.76
K: 0.7445 0.7445 0.2914  3 P 3.39-3.45, 4 Na 3.71-3.76
P: 0.5259 0.5259 0.8931  1 P 2.28
Na: 0.1527 0.1527 0.0586  4 P 2.85-3.19, 3 Na 3.05-3.13

Results
**Size of the total moment**: 0.4 μB/cell
**Volume**: 109.1 Å³/f.u.
**DOS at the Fermi energy**: 2.5 states/eV/f.u.

***

--- c ---
Density functional theory data (PBE) for a relaxed KNaP crystal.

a = 4.9387 Å, b = 6.7618 Å, c = 6.7618 Å
α = 113.33°, β = 90.00°, γ = 90.00°
Last column: nearest neighbours and their distance in Å.
Sites, in units of the cell vectors:
Na: 0.5000 0.5000 0.5000  4 P 2.71
K: 0.5000 0.2260 0.7740  1 Na 3.10
P: 0.0000 0.3492 0.3492  1 P 2.24
K: 0.5000 0.7740 0.2260  1 Na 3.10
P: 0.0000 0.6508 0.6508  1 P 2.24
Na: 0.0000 0.0000 0.0000  2 P 2.60

Results
**Size of the total moment**: 0.0 μB/cell
**Volume**: 103.7 Å³/f.u.
**DOS at the Fermi energy**: 1.4 states/eV/f.u.

***

Order from most stable to least stable according to the calculation: b, a, c

***

--- a ---
Density functional theory data (PBE) for a relaxed KNaP2 crystal.

a = 4.5793 Å, b = 4.5793 Å, c = 10.3261 Å
α = 77.19°, β = 77.19°, γ = 90.00°
Last column: nearest neighbours and their distance in Å.
Sites, in units of the cell vectors:
P: 0.8750 0.7309 0.7500  2 P 2.49, 2 Na 2.75
P: 0.3750 0.5191 0.7500  2 P 2.49, 2 Na 2.75
K: 0.7500 0.2500 0.5000  4 Na 3.24, 4 P 3.25
P: 0.4809 0.1250 0.2500  2 P 2.49, 2 Na 2.75
K: 0.0000 0.0000 0.0000  4 Na 3.24, 4 P 3.25
P: 0.2691 0.6250 0.2500  2 P 2.49, 2 Na 2.75
Na: 0.5000 0.5000 0.0000  4 P 2.75
Na: 0.2500 0.7500 0.5000  4 P 2.75

Results
**Size of the total moment**: 0.0 μB/cell
**Volume**: 102.8 Å³/f.u.
**DOS at the Fermi energy**: 2.9 states/eV/f.u.

***

--- b ---
Density functional theory data (PBE) for a relaxed KNaP2 crystal.

a = 5.0876 Å, b = 5.0876 Å, c = 5.0876 Å
α = 60.00°, β = 60.00°, γ = 60.00°
Last column: nearest neighbours and their distance in Å.
Sites, in units of the cell vectors:
P: 0.7500 0.7500 0.7500  4 K 3.12, 4 Na 3.12
Na: 0.0000 0.0000 0.0000  8 P 3.12
P: 0.2500 0.2500 0.2500  4 K 3.12, 4 Na 3.12
K: 0.5000 0.5000 0.5000  8 P 3.12

Results
**Size of the total moment**: 0.0 μB/cell
**Volume**: 93.1 Å³/f.u.
**DOS at the Fermi energy**: 2.5 states/eV/f.u.

***

Order from most stable to least stable according to the calculation: a, b

***

--- a ---
Density functional theory data (PBE) for a relaxed KNa3P crystal.

a = 5.6839 Å, b = 5.6839 Å, c = 5.6839 Å
α = 90.00°, β = 90.00°, γ = 90.00°
Last column: nearest neighbours and their distance in Å.
Sites, in units of the cell vectors:
Na: 0.0000 0.0000 0.5000  2 K 2.84
K: 0.0000 0.0000 0.0000  6 Na 2.84
Na: 0.0000 0.5000 0.0000  2 K 2.84
P: 0.5000 0.5000 0.5000  12 Na 4.02
Na: 0.5000 0.0000 0.0000  2 K 2.84

Results
**Size of the total moment**: 0.0 μB/cell
**Volume**: 183.6 Å³/f.u.
**DOS at the Fermi energy**: 3.9 states/eV/f.u.

***

--- b ---
Density functional theory data (PBE) for a relaxed KNa3P crystal.

a = 5.6329 Å, b = 5.6329 Å, c = 5.6329 Å
α = 90.00°, β = 90.00°, γ = 90.00°
Last column: nearest neighbours and their distance in Å.
Sites, in units of the cell vectors:
Na: 0.0000 0.5000 0.0000  2 P 2.82
Na: 0.0000 0.0000 0.5000  2 P 2.82
Na: 0.5000 0.0000 0.0000  2 P 2.82
K: 0.5000 0.5000 0.5000  12 Na 3.98
P: 0.0000 0.0000 0.0000  6 Na 2.82

Results
**Size of the total moment**: 0.0 μB/cell
**Volume**: 178.7 Å³/f.u.
**DOS at the Fermi energy**: 4.1 states/eV/f.u.

***

Order from most stable to least stable according to the calculation: b, a

***

--- a ---
Density functional theory data (PBE) for a relaxed K2NaP2 crystal.

a = 6.4746 Å, b = 6.2494 Å, c = 8.6285 Å
α = 99.47°, β = 90.00°, γ = 121.20°
Last column: nearest neighbours and their distance in Å.
Sites, in units of the cell vectors:
Na: 0.9189 0.0000 0.2500  4 P 3.00-3.03
P: 0.0126 0.6795 0.9956  1 P 2.18
P: 0.9874 0.3205 0.0044  1 P 2.18
K: 0.7959 0.2948 0.6409  6 P 3.31-3.60, 1 Na 3.43
K: 0.2041 0.7052 0.3591  6 P 3.31-3.60, 1 Na 3.43
K: 0.4989 0.2948 0.1409  6 P 3.31-3.60, 1 Na 3.43
P: 0.6669 0.6795 0.4956  1 P 2.18
Na: 0.0811 0.0000 0.7500  4 P 3.00-3.03
K: 0.5011 0.7052 0.8591  6 P 3.31-3.60, 1 Na 3.43
P: 0.3331 0.3205 0.5044  1 P 2.18

Results
**Size of the total moment**: 2.0 μB/cell
**Volume**: 146.5 Å³/f.u.
**DOS at the Fermi energy**: 2.9 states/eV/f.u.

***

--- b ---
Density functional theory data (PBE) for a relaxed K2NaP2 crystal.

a = 4.8402 Å, b = 4.8402 Å, c = 7.3666 Å
α = 70.82°, β = 70.82°, γ = 90.00°
Last column: nearest neighbours and their distance in Å.
Sites, in units of the cell vectors:
K: 0.7500 0.2500 0.5000  4 P 3.26, 4 K 3.42
K: 0.2500 0.7500 0.5000  4 P 3.26, 4 K 3.42
P: 0.4177 0.4177 0.1646  1 P 2.15
P: 0.5823 0.5823 0.8354  1 P 2.15
Na: 0.0000 0.0000 0.0000  8 P 3.59

Results
**Size of the total moment**: 0.9 μB/cell
**Volume**: 152.8 Å³/f.u.
**DOS at the Fermi energy**: 2.7 states/eV/f.u.

***

Order from most stable to least stable according to the calculation: a, b